Here is a geometry-optimized Cs2Sn2Pt structure from Alexandria via LeMat-Bulk. Energies are from PBE.

Values from the calculation:
Energy above the most stable polymorph in this dataset (meV per atom): 187

Cell: 7.1982 7.1982 6.5199 Å, 90.00 90.00 90.00°
Last column: nearest neighbours and their distance in Å.
Atoms (fractional coordinates):
Cs (0.1830, 0.3170, 0.0000)  6 Sn 3.70-4.03, 5 Cs 3.73
Cs (0.3170, 0.8170, 0.0000)  6 Sn 3.70-4.03, 5 Cs 3.73
Cs (0.6830, 0.1830, 0.0000)  6 Sn 3.70-4.03, 5 Cs 3.73
Cs (0.8170, 0.6830, 0.0000)  6 Sn 3.70-4.03, 5 Cs 3.73
Sn (0.1450, 0.6450, 0.5000)  2 Pt 2.76, 1 Sn 2.95
Sn (0.3550, 0.1450, 0.5000)  2 Pt 2.76, 1 Sn 2.95
Sn (0.6450, 0.8550, 0.5000)  2 Pt 2.76, 1 Sn 2.95
Sn (0.8550, 0.3550, 0.5000)  2 Pt 2.76, 1 Sn 2.95
Pt (0.0000, 0.0000, 0.5000)  4 Sn 2.76
Pt (0.5000, 0.5000, 0.5000)  4 Sn 2.76

Here is a geometry-optimized CaSmEu structure from Alexandria via LeMat-Bulk. Energies are from PBE.

Values from the calculation:
Energy above the most stable polymorph in this dataset (meV per atom): 8

Cell: 8.5455 8.5455 8.5455 Å, 154.52 154.52 36.35°
Last column: nearest neighbours and their distance in Å.
Atoms (fractional coordinates):
Ca (0.0000, 0.0000, 0.0000)  4 Sm 3.75, 4 Ca 3.77, 4 Eu 3.95
Sm (0.6627, 0.6627, 0.0000)  4 Eu 3.70, 4 Ca 3.75, 4 Sm 3.77
Eu (0.3208, 0.3208, 0.0000)  4 Sm 3.70, 4 Eu 3.77, 4 Ca 3.95

Here is a geometry-optimized BeNbRh structure from Alexandria via LeMat-Bulk. Energies are from PBE.

Values from the calculation:
Energy above the most stable polymorph in this dataset (meV per atom): 32

Cell: 5.0817 5.0817 5.4161 Å, 90.00 90.00 144.85°
Last column: nearest neighbours and their distance in Å.
Atoms (fractional coordinates):
Be (0.1010, 0.8990, 0.7500)  4 Rh 2.27, 2 Nb 2.46
Be (0.8990, 0.1010, 0.2500)  4 Rh 2.27, 2 Nb 2.46
Nb (0.2006, 0.7994, 0.2500)  2 Be 2.46
Nb (0.7994, 0.2006, 0.7500)  2 Be 2.46
Rh (0.5000, 0.5000, 0.0000)  4 Be 2.27
Rh (0.5000, 0.5000, 0.5000)  4 Be 2.27

Here is a geometry-optimized Ni2RuS4 structure from Alexandria via LeMat-Bulk. Energies are from PBE.

Values from the calculation:
Energy above the most stable polymorph in this dataset (meV per atom): 669
Formation energy without anion corrections (meV/atom): 304.1

Cell: 6.4182 6.4182 6.4182 Å, 137.09 137.09 62.30°
Last column: nearest neighbours and their distance in Å.
Atoms (fractional coordinates):
Ni (0.1047, 0.1047, 0.0000)  1 S 2.04
Ni (0.8953, 0.8953, 0.0000)  1 S 2.04
Ru (0.5000, 0.5000, 0.0000)  6 S 2.30-2.35
S (0.0000, 0.5000, 0.5000)  2 Ru 2.35, 4 Ni 2.61
S (0.2906, 0.2906, 0.0000)  1 Ni 2.04
S (0.5000, 0.0000, 0.5000)  2 Ru 2.35, 4 Ni 2.61
S (0.7094, 0.7094, 0.0000)  1 Ni 2.04

Here is a geometry-optimized Y3AlSn structure from Alexandria via LeMat-Bulk. Energies are from PBE.

Values from the calculation:
Energy above the most stable polymorph in this dataset (meV per atom): 0

Cell: 5.4278 5.4278 5.4278 Å, 90.00 90.00 90.00°
Last column: nearest neighbours and their distance in Å.
Atoms (fractional coordinates):
Y (0.0000, 0.0000, 0.5000)  2 Al 2.71
Y (0.0000, 0.5000, 0.0000)  2 Al 2.71
Y (0.5000, 0.0000, 0.0000)  2 Al 2.71
Al (0.0000, 0.0000, 0.0000)  6 Y 2.71
Sn (0.5000, 0.5000, 0.5000)  12 Y 3.84

Here is a geometry-optimized Pm4Rh3Pb structure from Alexandria via LeMat-Bulk. Energies are from PBE.

Values from the calculation:
Uncorrected energy (Ry per atom): -0.457

Cell: 3.9805 4.4367 11.1968 Å, 90.00 90.00 90.00°
Last column: nearest neighbours and their distance in Å.
Atoms (fractional coordinates):
Pm (0.0000, 0.0000, 0.0000)  6 Rh 3.01-3.02
Pm (0.0000, 0.5000, 0.2601)  7 Rh 2.97-3.18
Pm (0.5000, 0.0000, 0.4616)  5 Rh 2.90-3.06
Pm (0.5000, 0.5000, 0.7874)  1 Rh 2.81
Rh (0.0000, 0.5000, 0.5253)  2 Pb 2.90, 5 Pm 2.97-3.06
Rh (0.5000, 0.0000, 0.2024)  2 Rh 2.88, 7 Pm 2.90-3.05
Rh (0.5000, 0.5000, 0.0385)  5 Pm 2.81-3.01, 2 Rh 2.88
Pb (0.0000, 0.0000, 0.6918)  2 Rh 2.90, 4 Pm 3.17

no.,calculated density (g/cm³),magnetization (μB/cell)
1,6.87,0.00
2,4.93,7.75
3,8.45,0.00
4,4.75,1.65
5,4.28,0.00
6,9.20,0.00